1.
# Y2TeAsO meta-GGA SCAN PBEsol geometry
data_Y2TeAsO
_symmetry_space_group_name_H-M 'P 4/m m m'
_symmetry_Int_Tables_number 123
_symmetry_space_group_name_Hall '-P 4 2'
_cell_length_a 5.334
_cell_length_b 5.334
_cell_length_c 5.106
_cell_angle_alpha 90.00
_cell_angle_beta 90.00
_cell_angle_gamma 90.00
loop_
_atom_site_label
_atom_site_type_symbol
_atom_site_fract_x
_atom_site_fract_y
_atom_site_fract_z
_atom_site_occupancy
Y1 Y 0.000 0.500 0.000 1
Te1 Te 0.000 0.000 0.500 1
As1 As 0.000 0.000 0.000 1
O1 O 0.500 0.500 0.500 1
# * formation energy (no corrections): -88 meV/atom



2.
# Sr2RhCl meta-GGA SCAN PBEsol geometry
data_Sr2RhCl
_symmetry_space_group_name_H-M 'R -3 m'
_symmetry_Int_Tables_number 166
_symmetry_space_group_name_Hall '-R 3 2"'
_cell_length_a 4.1896
_cell_length_b 4.1896
_cell_length_c 21.9392
_cell_angle_alpha 90.00
_cell_angle_beta 90.00
_cell_angle_gamma 120.00
loop_
_atom_site_label
_atom_site_type_symbol
_atom_site_fract_x
_atom_site_fract_y
_atom_site_fract_z
_atom_site_occupancy
Sr1 Sr 0.0000 0.0000 0.2405 1
Rh1 Rh 0.0000 0.0000 0.5000 1
Cl1 Cl 0.0000 0.0000 0.0000 1
# * E above lowest polymorph: 0 meV per atom
# * formation energy (no corrections): -1104 meV/atom



3.
# ZrTeMo meta-GGA SCAN PBEsol geometry
data_ZrTeMo
_symmetry_space_group_name_H-M 'I 4 m m'
_symmetry_Int_Tables_number 107
_symmetry_space_group_name_Hall 'I 4 -2'
_cell_length_a 3.348
_cell_length_b 3.348
_cell_length_c 10.473
_cell_angle_alpha 90.00
_cell_angle_beta 90.00
_cell_angle_gamma 90.00
loop_
_atom_site_label
_atom_site_type_symbol
_atom_site_fract_x
_atom_site_fract_y
_atom_site_fract_z
_atom_site_occupancy
Zr1 Zr 0.000 0.000 0.000 1
Te1 Te 0.000 0.000 0.301 1
Mo1 Mo 0.000 0.000 0.669 1
# * E above lowest polymorph: 0 meV per atom
# * formation energy (no corrections): -32 meV/atom



4.
# AsHSCl2 meta-GGA SCAN PBEsol geometry
data_AsHSCl2
_symmetry_space_group_name_H-M 'P 4/m m m'
_symmetry_Int_Tables_number 123
_symmetry_space_group_name_Hall '-P 4 2'
_cell_length_a 3.729
_cell_length_b 3.729
_cell_length_c 6.831
_cell_angle_alpha 90.00
_cell_angle_beta 90.00
_cell_angle_gamma 90.00
loop_
_atom_site_label
_atom_site_type_symbol
_atom_site_fract_x
_atom_site_fract_y
_atom_site_fract_z
_atom_site_occupancy
As1 As 0.000 0.000 0.000 1
H1 H 0.500 0.500 0.500 1
S1 S 0.500 0.500 0.000 1
Cl1 Cl 0.000 0.500 0.500 1
# * E: -46.419 eV for the cell shown



5.
# YTlMo2 meta-GGA SCAN PBEsol geometry
data_YTlMo2
_symmetry_space_group_name_H-M 'I 4/m m m'
_symmetry_Int_Tables_number 139
_symmetry_space_group_name_Hall '-I 4 2'
_cell_length_a 4.091
_cell_length_b 4.091
_cell_length_c 9.328
_cell_angle_alpha 90.00
_cell_angle_beta 90.00
_cell_angle_gamma 90.00
loop_
_atom_site_label
_atom_site_type_symbol
_atom_site_fract_x
_atom_site_fract_y
_atom_site_fract_z
_atom_site_occupancy
Y1 Y 0.000 0.000 0.000 1
Tl1 Tl 0.000 0.000 0.500 1
Mo1 Mo 0.000 0.500 0.250 1
# * E_form: 215 kJ/mol of formula units
# * E above lowest polymorph: 232 meV per atom



6.
# OsPt3 meta-GGA SCAN PBEsol geometry
data_OsPt3
_symmetry_space_group_name_H-M 'R -3 m'
_symmetry_Int_Tables_number 166
_symmetry_space_group_name_Hall '-R 3 2"'
_cell_length_a 2.7504
_cell_length_b 2.7504
_cell_length_c 26.9263
_cell_angle_alpha 90.00
_cell_angle_beta 90.00
_cell_angle_gamma 120.00
loop_
_atom_site_label
_atom_site_type_symbol
_atom_site_fract_x
_atom_site_fract_y
_atom_site_fract_z
_atom_site_occupancy
Os1 Os 0.0000 0.0000 0.0000 1
Pt1 Pt 0.0000 0.0000 0.2527 1
Pt2 Pt 0.0000 0.0000 0.5000 1
# * E_form: 32 kJ/mol of formula units



For the records above, the corresponding total magnetization values read 0.00, 0.00, 0.00, 0.88, 0.00, 0.03 μB/f.u..